# YLu2Ga GGA-PBE optimized geometry
# - E: -19.71 eV per cell
# - Energy above the lowest structure with this stoichiometry: 0.0 meV/atom
# - ΔH_f (0 K): -0.29 eV/atom
# - D(E_F): 3.863 states/eV/f.u.
data_YLu2Ga
_cell_length_a 3.481
_cell_length_b 3.481
_cell_length_c 8.731
_cell_angle_alpha 90.00
_cell_angle_beta 90.00
_cell_angle_gamma 90.00
_symmetry_space_group_name_H-M 'P 4/m m m'
_symmetry_Int_Tables_number 123
_symmetry_space_group_name_Hall '-P 4 2'
loop_
_atom_site_label
_atom_site_fract_x
_atom_site_fract_y
_atom_site_fract_z
Y1 0.000 0.000 0.000
Lu1 0.500 0.500 0.293
Ga1 0.000 0.000 0.500